a.
This record from the Alexandria database describes crystalline Nd3Y8 at its relaxed geometry. The functional is GGA-PBE.

a b c (Å): 7.184 7.184 7.184
angles (deg): 87.24 87.24 87.24
Atoms (fractional coordinates):
Nd 0.000 0.500 0.500
Nd 0.500 0.000 0.500
Nd 0.500 0.500 0.000
Y 0.107 0.862 0.696
Y 0.138 0.304 0.893
Y 0.304 0.893 0.138
Y 0.371 0.371 0.371
Y 0.629 0.629 0.629
Y 0.696 0.107 0.862
Y 0.862 0.696 0.107
Y 0.893 0.138 0.304

b.
This record from the Alexandria database describes crystalline Nd3Y8 at its relaxed geometry. The functional is GGA-PBE.

a b c (Å): 32.242 32.242 32.242
angles (deg): 6.41 6.41 6.41
Atoms (fractional coordinates):
Nd 0.000 0.000 0.000
Nd 0.272 0.272 0.272
Nd 0.728 0.728 0.728
Y 0.092 0.092 0.092
Y 0.182 0.182 0.182
Y 0.364 0.364 0.364
Y 0.455 0.455 0.455
Y 0.545 0.545 0.545
Y 0.636 0.636 0.636
Y 0.818 0.818 0.818
Y 0.908 0.908 0.908

What should be chosen as the most stable of them? Choose b.

a.
This record from the Alexandria database describes crystalline Nd4Y at its relaxed geometry. The functional is GGA-PBE.

a b c (Å): 5.846 5.846 5.846
angles (deg): 90.00 90.00 90.00
Atoms (fractional coordinates):
Nd 0.000 0.000 0.000
Nd 0.000 0.500 0.500
Nd 0.500 0.000 0.500
Nd 0.500 0.500 0.000
Y 0.500 0.500 0.500

b.
This record from the Alexandria database describes crystalline Nd4Y at its relaxed geometry. The functional is GGA-PBE.

a b c (Å): 3.661 3.661 44.733
angles (deg): 90.00 90.00 120.00
Atoms (fractional coordinates):
Nd 0.000 0.000 0.101
Nd 0.000 0.000 0.300
Nd 0.000 0.000 0.700
Nd 0.000 0.000 0.899
Nd 0.333 0.667 0.367
Nd 0.333 0.667 0.566
Nd 0.333 0.667 0.768
Nd 0.333 0.667 0.966
Nd 0.667 0.333 0.034
Nd 0.667 0.333 0.232
Nd 0.667 0.333 0.434
Nd 0.667 0.333 0.633
Y 0.000 0.000 0.500
Y 0.333 0.667 0.167
Y 0.667 0.333 0.833

c.
This record from the Alexandria database describes crystalline Nd4Y at its relaxed geometry. The functional is GGA-PBE.

a b c (Å): 3.664 3.664 25.880
angles (deg): 90.00 90.00 90.00
Atoms (fractional coordinates):
Nd 0.000 0.000 0.099
Nd 0.000 0.000 0.301
Nd 0.000 0.000 0.699
Nd 0.000 0.000 0.901
Nd 0.500 0.500 0.199
Nd 0.500 0.500 0.401
Nd 0.500 0.500 0.599
Nd 0.500 0.500 0.801
Y 0.000 0.000 0.500
Y 0.500 0.500 0.000

What should be chosen as the most stable of them? Choose b.

a.
This record from the Alexandria database describes crystalline Nd8Y3 at its relaxed geometry. The functional is GGA-PBE.

a b c (Å): 7.337 7.337 7.337
angles (deg): 83.82 83.82 83.82
Atoms (fractional coordinates):
Nd 0.110 0.110 0.110
Nd 0.193 0.613 0.351
Nd 0.351 0.193 0.613
Nd 0.387 0.649 0.807
Nd 0.613 0.351 0.193
Nd 0.649 0.807 0.387
Nd 0.807 0.387 0.649
Nd 0.890 0.890 0.890
Y 0.000 0.000 0.500
Y 0.000 0.500 0.000
Y 0.500 0.000 0.000

b.
This record from the Alexandria database describes crystalline Nd8Y3 at its relaxed geometry. The functional is GGA-PBE.

a b c (Å): 6.327 6.327 13.196
angles (deg): 103.86 103.86 48.08
Atoms (fractional coordinates):
Nd 0.046 0.046 0.318
Nd 0.136 0.136 0.954
Nd 0.228 0.228 0.591
Nd 0.319 0.319 0.227
Nd 0.681 0.681 0.773
Nd 0.772 0.772 0.409
Nd 0.864 0.864 0.046
Nd 0.954 0.954 0.682
Y 0.409 0.409 0.865
Y 0.500 0.500 0.500
Y 0.591 0.591 0.135

What should be chosen as the most stable of them? Choose b.

a.
This record from the Alexandria database describes crystalline Nd3Y4 at its relaxed geometry. The functional is GGA-PBE.

a b c (Å): 17.029 3.527 8.853
angles (deg): 90.00 116.85 90.00
Atoms (fractional coordinates):
Nd 0.000 0.000 0.000
Nd 0.222 0.000 0.148
Nd 0.278 0.500 0.852
Nd 0.500 0.500 0.000
Nd 0.722 0.500 0.148
Nd 0.778 0.000 0.852
Y 0.078 0.000 0.699
Y 0.136 0.500 0.410
Y 0.364 0.000 0.590
Y 0.422 0.500 0.301
Y 0.578 0.500 0.699
Y 0.636 0.000 0.410
Y 0.864 0.500 0.590
Y 0.922 0.000 0.301

b.
This record from the Alexandria database describes crystalline Nd3Y4 at its relaxed geometry. The functional is GGA-PBE.

a b c (Å): 4.234 4.234 26.327
angles (deg): 90.00 90.00 90.00
Atoms (fractional coordinates):
Nd 0.000 0.000 0.000
Nd 0.000 0.000 0.287
Nd 0.000 0.000 0.713
Nd 0.500 0.500 0.213
Nd 0.500 0.500 0.500
Nd 0.500 0.500 0.787
Y 0.000 0.000 0.142
Y 0.000 0.000 0.427
Y 0.000 0.000 0.573
Y 0.000 0.000 0.858
Y 0.500 0.500 0.073
Y 0.500 0.500 0.358
Y 0.500 0.500 0.642
Y 0.500 0.500 0.927

What should be chosen as the most stable of them? Choose b.

a.
This record from the Alexandria database describes crystalline Nd2YZn2 at its relaxed geometry. The functional is GGA-PBE.

a b c (Å): 3.689 5.204 13.798
angles (deg): 90.00 97.71 90.00
Atoms (fractional coordinates):
Nd 0.046 0.250 0.091
Nd 0.231 0.250 0.463
Nd 0.769 0.750 0.537
Nd 0.954 0.750 0.909
Y 0.143 0.750 0.284
Y 0.857 0.250 0.716
Zn 0.361 0.750 0.723
Zn 0.447 0.250 0.895
Zn 0.553 0.750 0.105
Zn 0.639 0.250 0.277

b.
This record from the Alexandria database describes crystalline Nd2YZn2 at its relaxed geometry. The functional is GGA-PBE.

a b c (Å): 4.586 4.410 13.572
angles (deg): 90.00 99.44 90.00
Atoms (fractional coordinates):
Nd 0.054 0.250 0.111
Nd 0.263 0.750 0.528
Nd 0.737 0.250 0.472
Nd 0.946 0.750 0.889
Y 0.365 0.250 0.730
Y 0.635 0.750 0.270
Zn 0.168 0.250 0.333
Zn 0.475 0.250 0.950
Zn 0.525 0.750 0.050
Zn 0.832 0.750 0.667

What should be chosen as the most stable of them? Choose a.

a.
This record from the Alexandria database describes crystalline Nd2YZn at its relaxed geometry. The functional is GGA-PBE.

a b c (Å): 3.655 3.655 31.799
angles (deg): 90.00 90.00 120.00
Atoms (fractional coordinates):
Nd 0.000 0.000 0.240
Nd 0.000 0.000 0.760
Nd 0.333 0.667 0.427
Nd 0.333 0.667 0.907
Nd 0.667 0.333 0.093
Nd 0.667 0.333 0.573
Y 0.000 0.000 0.000
Y 0.333 0.667 0.667
Y 0.667 0.333 0.333
Zn 0.000 0.000 0.500
Zn 0.333 0.667 0.167
Zn 0.667 0.333 0.833

b.
This record from the Alexandria database describes crystalline Nd2YZn at its relaxed geometry. The functional is GGA-PBE.

a b c (Å): 5.162 5.162 17.538
angles (deg): 90.00 90.00 90.00
Atoms (fractional coordinates):
Nd 0.000 0.000 0.144
Nd 0.000 0.000 0.856
Nd 0.000 0.500 0.000
Nd 0.000 0.500 0.500
Nd 0.500 0.000 0.000
Nd 0.500 0.000 0.500
Nd 0.500 0.500 0.356
Nd 0.500 0.500 0.644
Y 0.000 0.000 0.349
Y 0.000 0.000 0.651
Y 0.500 0.500 0.151
Y 0.500 0.500 0.849
Zn 0.000 0.500 0.250
Zn 0.000 0.500 0.750
Zn 0.500 0.000 0.250
Zn 0.500 0.000 0.750

What should be chosen as the most stable of them? Choose b.

a.
This record from the Alexandria database describes crystalline Nd2YZn at its relaxed geometry. The functional is GGA-PBE.

a b c (Å): 3.684 3.684 31.537
angles (deg): 90.00 90.00 120.00
Atoms (fractional coordinates):
Nd 0.000 0.000 0.000
Nd 0.000 0.000 0.187
Nd 0.333 0.667 0.667
Nd 0.333 0.667 0.854
Nd 0.667 0.333 0.333
Nd 0.667 0.333 0.521
Y 0.000 0.000 0.427
Y 0.333 0.667 0.094
Y 0.667 0.333 0.760
Zn 0.000 0.000 0.593
Zn 0.333 0.667 0.260
Zn 0.667 0.333 0.927

b.
This record from the Alexandria database describes crystalline Nd2YZn at its relaxed geometry. The functional is GGA-PBE.

a b c (Å): 3.679 3.679 8.761
angles (deg): 90.00 90.00 90.00
Atoms (fractional coordinates):
Nd 0.000 0.000 0.209
Nd 0.000 0.000 0.791
Y 0.500 0.500 0.500
Zn 0.500 0.500 0.000

What should be chosen as the most stable of them? Choose b.

a.
This record from the Alexandria database describes crystalline NdY4Zn at its relaxed geometry. The functional is GGA-PBE.

a b c (Å): 8.222 8.222 6.230
angles (deg): 100.38 100.38 114.35
Atoms (fractional coordinates):
Nd 0.113 0.887 0.750
Nd 0.887 0.113 0.250
Y 0.125 0.317 0.856
Y 0.214 0.577 0.439
Y 0.317 0.125 0.356
Y 0.423 0.786 0.061
Y 0.577 0.214 0.939
Y 0.683 0.875 0.644
Y 0.786 0.423 0.561
Y 0.875 0.683 0.144
Zn 0.499 0.501 0.250
Zn 0.501 0.499 0.750

b.
This record from the Alexandria database describes crystalline NdY4Zn at its relaxed geometry. The functional is GGA-PBE.

a b c (Å): 3.594 3.594 13.867
angles (deg): 90.00 90.00 90.00
Atoms (fractional coordinates):
Nd 0.000 0.000 0.000
Y 0.000 0.000 0.373
Y 0.000 0.000 0.627
Y 0.500 0.500 0.186
Y 0.500 0.500 0.814
Zn 0.500 0.500 0.500

What should be chosen as the most stable of them? Choose b.

a.
This record from the Alexandria database describes crystalline Nd3YZn2 at its relaxed geometry. The functional is GGA-PBE.

a b c (Å): 8.930 8.930 8.930
angles (deg): 133.50 69.35 131.62
Atoms (fractional coordinates):
Nd 0.023 0.750 0.273
Nd 0.250 0.250 0.000
Nd 0.477 0.750 0.727
Nd 0.523 0.250 0.273
Nd 0.750 0.750 0.000
Nd 0.977 0.250 0.727
Y 0.000 0.500 0.500
Y 0.500 0.000 0.500
Zn 0.137 0.207 0.344
Zn 0.363 0.707 0.070
Zn 0.637 0.293 0.930
Zn 0.863 0.793 0.656

b.
This record from the Alexandria database describes crystalline Nd3YZn2 at its relaxed geometry. The functional is GGA-PBE.

a b c (Å): 3.691 3.691 12.381
angles (deg): 90.00 90.00 90.00
Atoms (fractional coordinates):
Nd 0.000 0.000 0.000
Nd 0.000 0.000 0.293
Nd 0.000 0.000 0.707
Y 0.500 0.500 0.500
Zn 0.500 0.500 0.147
Zn 0.500 0.500 0.853

What should be chosen as the most stable of them? Choose b.

a.
This record from the Alexandria database describes crystalline Nd2YZr at its relaxed geometry. The functional is GGA-PBE.

a b c (Å): 3.518 3.518 34.417
angles (deg): 90.00 90.00 120.00
Atoms (fractional coordinates):
Nd 0.000 0.000 0.000
Nd 0.000 0.000 0.177
Nd 0.333 0.667 0.667
Nd 0.333 0.667 0.843
Nd 0.667 0.333 0.333
Nd 0.667 0.333 0.510
Y 0.000 0.000 0.421
Y 0.333 0.667 0.087
Y 0.667 0.333 0.754
Zr 0.000 0.000 0.589
Zr 0.333 0.667 0.255
Zr 0.667 0.333 0.922

b.
This record from the Alexandria database describes crystalline Nd2YZr at its relaxed geometry. The functional is GGA-PBE.

a b c (Å): 7.875 7.875 7.875
angles (deg): 90.00 90.00 90.00
Atoms (fractional coordinates):
Nd 0.250 0.250 0.250
Nd 0.250 0.250 0.750
Nd 0.250 0.750 0.250
Nd 0.250 0.750 0.750
Nd 0.750 0.250 0.250
Nd 0.750 0.250 0.750
Nd 0.750 0.750 0.250
Nd 0.750 0.750 0.750
Y 0.000 0.000 0.000
Y 0.000 0.500 0.500
Y 0.500 0.000 0.500
Y 0.500 0.500 0.000
Zr 0.000 0.000 0.500
Zr 0.000 0.500 0.000
Zr 0.500 0.000 0.000
Zr 0.500 0.500 0.500

What should be chosen as the most stable of them? Choose a.

a.
This record from the Alexandria database describes crystalline Nd2YZr at its relaxed geometry. The functional is GGA-PBE.

a b c (Å): 3.510 3.510 34.500
angles (deg): 90.00 90.00 120.00
Atoms (fractional coordinates):
Nd 0.000 0.000 0.245
Nd 0.000 0.000 0.755
Nd 0.333 0.667 0.422
Nd 0.333 0.667 0.912
Nd 0.667 0.333 0.088
Nd 0.667 0.333 0.578
Y 0.000 0.000 0.000
Y 0.333 0.667 0.667
Y 0.667 0.333 0.333
Zr 0.000 0.000 0.500
Zr 0.333 0.667 0.167
Zr 0.667 0.333 0.833

b.
This record from the Alexandria database describes crystalline Nd2YZr at its relaxed geometry. The functional is GGA-PBE.

a b c (Å): 4.083 4.083 7.378
angles (deg): 90.00 90.00 90.00
Atoms (fractional coordinates):
Nd 0.000 0.000 0.224
Nd 0.000 0.000 0.776
Y 0.500 0.500 0.500
Zr 0.500 0.500 0.000

What should be chosen as the most stable of them? Choose a.

a.
This record from the Alexandria database describes crystalline NdYZr at its relaxed geometry. The functional is GGA-PBE.

a b c (Å): 4.136 4.136 22.604
angles (deg): 90.00 90.00 90.00
Atoms (fractional coordinates):
Nd 0.000 0.000 0.200
Nd 0.000 0.000 0.800
Nd 0.500 0.500 0.300
Nd 0.500 0.500 0.700
Y 0.000 0.000 0.392
Y 0.000 0.000 0.608
Y 0.500 0.500 0.108
Y 0.500 0.500 0.892
Zr 0.000 0.000 0.057
Zr 0.000 0.000 0.943
Zr 0.500 0.500 0.443
Zr 0.500 0.500 0.557

b.
This record from the Alexandria database describes crystalline NdYZr at its relaxed geometry. The functional is GGA-PBE.

a b c (Å): 3.412 4.877 10.717
angles (deg): 90.00 98.96 90.00
Atoms (fractional coordinates):
Nd 0.057 0.250 0.099
Nd 0.943 0.750 0.901
Y 0.359 0.250 0.728
Y 0.641 0.750 0.272
Zr 0.217 0.250 0.430
Zr 0.783 0.750 0.570

What should be chosen as the most stable of them? Choose b.